(1)
## AcGa3AgPd (PBE)

Data for a relaxed structure of AcGa3AgPd.

Calculated values
ΔH_f (0 K) (eV/atom): -0.35

a b c (Å): 7.5272 7.5272 6.2466
angles (deg): 90.00 90.00 132.99
Last column: nearest neighbours and their distance in Å.
Positions (direct):
Ac 0.2066 0.7934 0.7500  1 Pd 2.89, 2 Ga 3.21, 2 Ag 3.22
Ac 0.7934 0.2066 0.2500  1 Pd 2.89, 2 Ga 3.21, 2 Ag 3.22
Ga 0.2166 0.2166 0.0000  2 Pd 2.58, 3 Ga 2.60-2.87
Ga 0.2166 0.2166 0.5000  2 Pd 2.58, 3 Ga 2.60-2.87
Ga 0.3765 0.6235 0.2500  3 Pd 2.86-3.17, 4 Ga 2.87, 1 Ag 3.12
Ga 0.6235 0.3765 0.7500  3 Pd 2.86-3.17, 4 Ga 2.87, 1 Ag 3.12
Ga 0.7834 0.7834 0.0000  2 Pd 2.58, 3 Ga 2.60-2.87
Ga 0.7834 0.7834 0.5000  2 Pd 2.58, 3 Ga 2.60-2.87
Ag 0.1505 0.8495 0.2500  5 Ga 2.91-3.12, 2 Pd 3.14, 2 Ac 3.22
Ag 0.8495 0.1505 0.7500  5 Ga 2.91-3.12, 2 Pd 3.14, 2 Ac 3.22
Pd 0.4161 0.5839 0.7500  5 Ga 2.58-2.86, 1 Ac 2.89
Pd 0.5839 0.4161 0.2500  5 Ga 2.58-2.86, 1 Ac 2.89

***

(2)
## Ac2Ga3AgPd12 (PBE)

Data for a relaxed structure of Ac2Ga3AgPd12.

Calculated values
ΔH_f (0 K) (eV/atom): -0.26

a b c (Å): 7.7974 7.7974 7.7974
angles (deg): 65.98 65.98 65.98
Last column: nearest neighbours and their distance in Å.
Positions (direct):
Ac 0.1123 0.1123 0.1123  6 Pd 2.82-2.92
Ac 0.8877 0.8877 0.8877  6 Pd 2.82-2.92
Ga 0.0000 0.5000 0.5000  6 Pd 2.43-2.49
Ga 0.5000 0.0000 0.5000  6 Pd 2.43-2.49
Ga 0.5000 0.5000 0.0000  6 Pd 2.43-2.49
Ag 0.5000 0.5000 0.5000  6 Pd 2.65
Pd 0.1163 0.6419 0.6419  1 Ga 2.43, 1 Ag 2.65
Pd 0.1371 0.1371 0.6055  2 Ga 2.49
Pd 0.1371 0.6055 0.1371  2 Ga 2.49
Pd 0.3581 0.3581 0.8837  1 Ga 2.43, 1 Ag 2.65
Pd 0.3581 0.8837 0.3581  1 Ga 2.43, 1 Ag 2.65
Pd 0.3945 0.8629 0.8629  2 Ga 2.49
Pd 0.6055 0.1371 0.1371  2 Ga 2.49
Pd 0.6419 0.1163 0.6419  1 Ga 2.43, 1 Ag 2.65
Pd 0.6419 0.6419 0.1163  1 Ga 2.43, 1 Ag 2.65
Pd 0.8629 0.3945 0.8629  2 Ga 2.49
Pd 0.8629 0.8629 0.3945  2 Ga 2.49
Pd 0.8837 0.3581 0.3581  1 Ga 2.43, 1 Ag 2.65

***

(3)
## AcGaAg2Pd4 (PBE)

Data for a relaxed structure of AcGaAg2Pd4.

Calculated values
ΔH_f (0 K) (eV/atom): -0.44

a b c (Å): 8.7952 8.7952 8.7952
angles (deg): 30.19 30.19 30.19
Last column: nearest neighbours and their distance in Å.
Positions (direct):
Ac 0.0000 0.0000 0.0000  8 Pd 3.15-3.32, 6 Ag 3.47
Ga 0.5000 0.5000 0.5000  8 Pd 2.49-2.78
Ag 0.2439 0.2439 0.2439  7 Pd 2.70-2.85
Ag 0.7561 0.7561 0.7561  7 Pd 2.70-2.85
Pd 0.1320 0.1320 0.1320  3 Ga 2.78, 4 Ag 2.81-2.85, 3 Pd 3.10
Pd 0.4012 0.4012 0.4012  1 Ga 2.49, 3 Ag 2.70
Pd 0.5988 0.5988 0.5988  1 Ga 2.49, 3 Ag 2.70
Pd 0.8680 0.8680 0.8680  3 Ga 2.78, 4 Ag 2.81-2.85, 3 Pd 3.10

***

(4)
## AcGaAg2Pd2 (PBE)

Data for a relaxed structure of AcGaAg2Pd2.

Calculated values
ΔH_f (0 K) (eV/atom): -0.11

a b c (Å): 6.4302 6.4302 6.4302
angles (deg): 130.87 130.87 72.02
Last column: nearest neighbours and their distance in Å.
Positions (direct):
Ac 0.0000 0.0000 0.0000  2 Pd 2.84
Ga 0.5000 0.5000 0.0000  2 Pd 2.36
Ag 0.2500 0.7500 0.5000  4 Pd 2.68
Ag 0.7500 0.2500 0.5000  4 Pd 2.68
Pd 0.2733 0.2733 0.0000  1 Ga 2.36
Pd 0.7267 0.7267 0.0000  1 Ga 2.36

***

Question: The lowest ΔH_f (0 K) belongs to which entry?
Answer: AcGaAg2Pd4

***

Question: Which value of ΔH_f (0 K) does entry 1 give?
Answer: -0.35 eV/atom